[1]
Below is an optimized crystal structure of RbCd2Pt2, with properties calculated at the GGA-PBE level.

Structure (POSCAR):
```
RbCd2Pt2
1.0
4.6628 0.0000 0.0000
0.0000 4.6628 0.0000
2.3314 2.3314 5.6928
Rb Pt Cd
1 2 2
Cartesian
0.0000 0.0000 0.0000
2.3314 2.3314 1.2909
4.6628 4.6628 4.4019
4.6628 2.3314 2.8464
2.3314 4.6628 2.8464
```

Summary:
**Energy above the most stable polymorph in this dataset**: 0.225 kcal/mol of atoms
**ΔH_f (0 K)**: -174 meV per atom
**Total magnetization**: 0.000 μB per formula unit
**Space group**: I4/mmm, No. 139

***

[2]
Below is an optimized crystal structure of RbCd9Pt2, with properties calculated at the GGA-PBE level.

Structure (POSCAR):
```
RbCd9Pt2
1.0
-3.4947 0.2539 6.9415
5.4212 -2.3099 7.1689
0.5488 8.1885 4.3319
Rb Cd Pt
2 18 4
Cartesian
-1.7474 0.1269 3.4707
2.1113 3.0028 7.4858
0.3639 3.1297 10.9565
0.0000 0.0000 0.0000
5.2814 3.4052 9.6223
-1.5044 2.6328 6.2342
-1.1319 4.5414 8.5294
3.1616 1.6235 10.7978
2.2385 3.0477 13.5255
0.6823 3.0525 4.0317
4.9274 0.5655 8.4374
-0.2593 5.4077 5.6491
1.0524 5.6032 12.8350
1.8683 0.4970 4.7223
2.0446 6.7769 6.7589
2.6235 -0.8036 7.3276
4.0954 5.9607 8.9317
-0.3184 0.0773 6.9248
0.8577 0.2544 9.6880
1.1719 5.9106 9.6393
-1.2910 5.7861 11.1149
1.1452 0.5369 12.5334
-1.5654 1.6918 8.9490
3.1669 4.5042 11.2286
```

Summary:
**ΔH_f (0 K)**: -188 meV per atom
**Total magnetization**: 0.000 μB per formula unit
**Space group**: I4_1/amd, No. 141